1.
In3GaW | PBE-GGA | relaxed

Cell: 5.319 5.319 5.319 Å, 90.00 90.00 90.00°
Element x y z (fractional)
In  0.000  0.000  0.500
In  0.000  0.500  0.000
In  0.500  0.000  0.000
Ga  0.500  0.500  0.500
W  0.000  0.000  0.000

Results
As for the formation energy: 3.40 eV per formula unit. The value obtained for the density of states at the Fermi level is 0.6206 states/eV/atom.


2.
InGaW2 | PBE-GGA | relaxed

Cell: 4.567 4.567 4.567 Å, 60.00 60.00 60.00°
Element x y z (fractional)
In  0.000  0.000  0.000
Ga  0.500  0.500  0.500
W  0.250  0.250  0.250
W  0.750  0.750  0.750

Results
As for the formation energy: 3.05 eV per formula unit. The value obtained for the density of states at the Fermi level is 1.0056 states/eV/atom.


3.
Y2InGaW | PBE-GGA | relaxed

Cell: 5.576 5.576 5.048 Å, 90.00 90.00 90.00°
Element x y z (fractional)
Y  0.000  0.500  0.000
Y  0.500  0.000  0.000
In  0.000  0.000  0.000
Ga  0.500  0.500  0.500
W  0.000  0.000  0.500

Results
As for the formation energy: 5.51 eV per formula unit. The value obtained for the density of states at the Fermi level is 0.4478 states/eV/atom.


4.
Y2InGaW | PBE-GGA | relaxed

Cell: 5.328 5.328 4.758 Å, 90.00 90.00 90.00°
Element x y z (fractional)
Y  0.000  0.500  0.000
Y  0.500  0.000  0.000
In  0.000  0.000  0.500
Ga  0.000  0.000  0.000
W  0.500  0.500  0.500

Results
As for the formation energy: 5.02 eV per formula unit. The value obtained for the density of states at the Fermi level is 1.1808 states/eV/atom.


5.
Y4InGa3 | PBE-GGA | relaxed

Cell: 4.124 4.421 11.075 Å, 90.00 90.00 90.00°
Element x y z (fractional)
Y  0.000  0.000  0.000
Y  0.000  0.500  0.487
Y  0.500  0.000  0.710
Y  0.500  0.500  0.218
In  0.000  0.500  0.777
Ga  0.000  0.000  0.279
Ga  0.500  0.000  0.429
Ga  0.500  0.500  0.943

Results
As for the formation energy: -4.83 eV per formula unit. The value obtained for the density of states at the Fermi level is 0.8676 states/eV/atom.


6.
Y4In2Ga | PBE-GGA | relaxed

Cell: 9.031 9.031 9.031 Å, 33.47 33.47 33.47°
Element x y z (fractional)
Y  0.124  0.124  0.124
Y  0.375  0.375  0.375
Y  0.625  0.625  0.625
Y  0.876  0.876  0.876
In  0.253  0.253  0.253
In  0.747  0.747  0.747
Ga  0.500  0.500  0.500

Results
As for the formation energy: -2.52 eV per formula unit. The value obtained for the density of states at the Fermi level is 1.0738 states/eV/atom.


7.
Y11In9Ga4 | PBE-GGA | relaxed

Cell: 12.336 12.336 4.350 Å, 90.00 90.00 112.89°
Element x y z (fractional)
Y  0.000  0.000  0.000
Y  0.077  0.413  0.000
Y  0.172  0.828  0.000
Y  0.299  0.299  0.000
Y  0.370  0.630  0.000
Y  0.413  0.077  0.000
Y  0.587  0.923  0.000
Y  0.630  0.370  0.000
Y  0.701  0.701  0.000
Y  0.828  0.172  0.000
Y  0.923  0.587  0.000
In  0.056  0.210  0.500
In  0.146  0.624  0.500
In  0.210  0.056  0.500
In  0.376  0.854  0.500
In  0.500  0.500  0.500
In  0.624  0.146  0.500
In  0.790  0.944  0.500
In  0.854  0.376  0.500
In  0.944  0.790  0.500
Ga  0.251  0.448  0.500
Ga  0.448  0.251  0.500
Ga  0.552  0.749  0.500
Ga  0.749  0.552  0.500

Results
As for the formation energy: -12.85 eV per formula unit. The value obtained for the density of states at the Fermi level is 0.5597 states/eV/atom.


8.
Y6In5Ga | PBE-GGA | relaxed

Cell: 8.365 8.365 7.461 Å, 90.00 90.00 143.14°
Element x y z (fractional)
Y  0.000  0.000  0.242
Y  0.000  0.000  0.758
Y  0.337  0.663  0.247
Y  0.337  0.663  0.753
Y  0.663  0.337  0.247
Y  0.663  0.337  0.753
In  0.168  0.832  0.500
In  0.170  0.830  0.000
In  0.500  0.500  0.500
In  0.830  0.170  0.000
In  0.832  0.168  0.500
Ga  0.500  0.500  0.000

Results
As for the formation energy: -6.10 eV per formula unit. The value obtained for the density of states at the Fermi level is 0.4558 states/eV/atom.


9.
Y4InGa | PBE-GGA | relaxed

Cell: 5.081 5.081 7.221 Å, 90.00 90.00 90.00°
Element x y z (fractional)
Y  0.000  0.500  0.239
Y  0.000  0.500  0.761
Y  0.500  0.000  0.239
Y  0.500  0.000  0.761
In  0.000  0.000  0.500
Ga  0.500  0.500  0.000

Results
As for the formation energy: -1.26 eV per formula unit. The value obtained for the density of states at the Fermi level is 1.3507 states/eV/atom.


10.
Y2In2Ga | PBE-GGA | relaxed

Cell: 7.360 7.360 4.734 Å, 90.00 90.00 90.00°
Element x y z (fractional)
Y  0.169  0.331  0.000
Y  0.331  0.831  0.000
Y  0.669  0.169  0.000
Y  0.831  0.669  0.000
In  0.138  0.638  0.500
In  0.362  0.138  0.500
In  0.638  0.862  0.500
In  0.862  0.362  0.500
Ga  0.000  0.000  0.500
Ga  0.500  0.500  0.500

Results
As for the formation energy: -2.14 eV per formula unit. The value obtained for the density of states at the Fermi level is 0.6043 states/eV/atom.


11.
Y3InGa | PBE-GGA | relaxed

Cell: 9.905 9.905 6.451 Å, 96.13 96.13 61.04°
Element x y z (fractional)
Y  0.048  0.268  0.596
Y  0.181  0.694  0.978
Y  0.268  0.048  0.096
Y  0.298  0.382  0.478
Y  0.306  0.819  0.522
Y  0.382  0.298  0.978
Y  0.618  0.702  0.022
Y  0.694  0.181  0.478
Y  0.702  0.618  0.522
Y  0.732  0.952  0.904
Y  0.819  0.306  0.022
Y  0.952  0.732  0.404
In  0.001  0.999  0.250
In  0.500  0.500  0.250
In  0.500  0.500  0.750
In  0.999  0.001  0.750
Ga  0.058  0.408  0.153
Ga  0.408  0.058  0.653
Ga  0.592  0.942  0.347
Ga  0.942  0.592  0.847

Results
As for the formation energy: -1.90 eV per formula unit. The value obtained for the density of states at the Fermi level is 0.7526 states/eV/atom.


12.
YInGa | PBE-GGA | relaxed

Cell: 6.140 6.140 6.140 Å, 133.12 105.13 93.18°
Element x y z (fractional)
Y  0.244  0.000  0.244
Y  0.756  0.000  0.756
In  0.327  0.327  0.000
In  0.845  0.345  0.500
Ga  0.482  0.664  0.818
Ga  0.846  0.664  0.182

Results
As for the formation energy: -0.59 eV per formula unit. The value obtained for the density of states at the Fermi level is 0.4540 states/eV/atom.


13.
Y12InGa6 | PBE-GGA | relaxed

Cell: 8.756 8.756 8.756 Å, 109.47 109.47 109.47°
Element x y z (fractional)
Y  0.105  0.811  0.294
Y  0.189  0.294  0.483
Y  0.189  0.706  0.895
Y  0.294  0.105  0.811
Y  0.294  0.483  0.189
Y  0.483  0.189  0.294
Y  0.517  0.811  0.706
Y  0.706  0.517  0.811
Y  0.706  0.895  0.189
Y  0.811  0.294  0.105
Y  0.811  0.706  0.517
Y  0.895  0.189  0.706
In  0.000  0.000  0.000
Ga  0.122  0.622  0.500
Ga  0.378  0.500  0.878
Ga  0.500  0.122  0.622
Ga  0.500  0.878  0.378
Ga  0.622  0.500  0.122
Ga  0.878  0.378  0.500

Results
As for the formation energy: -8.15 eV per formula unit. The value obtained for the density of states at the Fermi level is 0.8402 states/eV/atom.


14.
Y7In2Ga2 | PBE-GGA | relaxed

Cell: 6.868 6.868 7.357 Å, 90.00 90.00 108.92°
Element x y z (fractional)
Y  0.000  0.000  0.000
Y  0.000  0.500  0.274
Y  0.000  0.500  0.726
Y  0.500  0.000  0.274
Y  0.500  0.000  0.726
Y  0.500  0.500  0.248
Y  0.500  0.500  0.752
In  0.178  0.178  0.500
In  0.822  0.822  0.500
Ga  0.290  0.710  0.000
Ga  0.710  0.290  0.000

Results
As for the formation energy: -2.54 eV per formula unit. The value obtained for the density of states at the Fermi level is 0.8795 states/eV/atom.


15.
YInGa | PBE-GGA | relaxed

Cell: 4.729 4.729 3.583 Å, 90.00 90.00 120.00°
Element x y z (fractional)
Y  0.000  0.000  0.000
In  0.667  0.333  0.529
Ga  0.333  0.667  0.427

Results
As for the formation energy: -1.45 eV per formula unit. The value obtained for the density of states at the Fermi level is 0.1980 states/eV/atom.


16.
Y2In2Ga | PBE-GGA | relaxed

Cell: 7.885 7.885 4.477 Å, 90.00 90.00 90.00°
Element x y z (fractional)
Y  0.160  0.340  0.000
Y  0.340  0.840  0.000
Y  0.660  0.160  0.000
Y  0.840  0.660  0.000
In  0.143  0.643  0.500
In  0.357  0.143  0.500
In  0.643  0.857  0.500
In  0.857  0.357  0.500
Ga  0.000  0.000  0.000
Ga  0.500  0.500  0.000

Results
As for the formation energy: -1.31 eV per formula unit. The value obtained for the density of states at the Fermi level is 0.9916 states/eV/atom.


17.
Y2In2Ga | PBE-GGA | relaxed

Cell: 6.066 6.066 11.041 Å, 113.19 113.19 43.38°
Element x y z (fractional)
Y  0.011  0.011  0.180
Y  0.181  0.181  0.612
Y  0.819  0.819  0.388
Y  0.989  0.989  0.820
In  0.346  0.346  0.945
In  0.455  0.455  0.607
In  0.545  0.545  0.393
In  0.654  0.654  0.055
Ga  0.297  0.297  0.185
Ga  0.703  0.703  0.815

Results
As for the formation energy: -2.53 eV per formula unit. The value obtained for the density of states at the Fermi level is 0.7357 states/eV/atom.


18.
YInGa | PBE-GGA | relaxed

Cell: 4.736 4.736 4.736 Å, 60.00 60.00 60.00°
Element x y z (fractional)
Y  0.000  0.000  0.000
In  0.500  0.500  0.500
Ga  0.750  0.750  0.750

Results
As for the formation energy: -1.12 eV per formula unit. The value obtained for the density of states at the Fermi level is 0.5594 states/eV/atom.


19.
YInGa4 | PBE-GGA | relaxed

Cell: 5.599 5.599 5.599 Å, 60.00 60.00 60.00°
Element x y z (fractional)
Y  0.000  0.000  0.000
In  0.250  0.250  0.250
Ga  0.124  0.625  0.625
Ga  0.625  0.124  0.625
Ga  0.625  0.625  0.124
Ga  0.625  0.625  0.625

Results
As for the formation energy: -1.41 eV per formula unit. The value obtained for the density of states at the Fermi level is 0.8333 states/eV/atom.


20.
Y2InGa | PBE-GGA | relaxed

Cell: 3.599 3.599 7.678 Å, 90.00 90.00 90.00°
Element x y z (fractional)
Y  0.000  0.000  0.235
Y  0.000  0.000  0.765
In  0.500  0.500  0.500
Ga  0.500  0.500  0.000

Results
As for the formation energy: -2.18 eV per formula unit. The value obtained for the density of states at the Fermi level is 0.4394 states/eV/atom.